VASP calculation (PBE) on a relaxed LiTbTmPd crystal.

```
4
Lattice="-2.127 2.541 -3.749 -4.985 0.150 -0.410 -2.461 4.254 0.940" Properties=species:S:1:pos:R:3 pbc="T T T"
Li -4.786 3.472 -1.610
Tm -7.179 5.209 -2.414
Tb -2.393 1.736 -0.805
Pd 0.000 0.000 0.000
```

Summary:
Spin magnetization   0.00 μB per formula unit
Formation energy   -423 meV per atom

=====

VASP calculation (PBE) on a relaxed BeCrTe2 crystal.

```
4
Lattice="4.851 0.011 0.000 -0.012 4.851 0.000 0.000 0.000 3.432" Properties=species:S:1:pos:R:3 pbc="T T T"
Te 2.419 2.431 0.000
Te 0.000 0.000 0.000
Be 2.425 0.006 1.716
Cr -0.006 2.425 1.716
```

Summary:
E_form (uncorrected)   0.540 eV/atom
Spin magnetization   3.47 μB per formula unit

=====

VASP calculation (PBE) on a relaxed LuPaAlMo crystal.

```
4
Lattice="4.951 0.000 0.000 2.475 4.287 0.000 2.475 1.429 4.042" Properties=species:S:1:pos:R:3 pbc="T T T"
Al 4.951 2.858 2.021
Lu 7.426 4.287 3.032
Pa 2.475 1.429 1.011
Mo 0.000 0.000 0.000
```

Summary:
Spin magnetization   0.00 μB per formula unit
Formation energy   21 meV per atom

=====

VASP calculation (PBE) on a relaxed LiScBr4 crystal.

```
12
Lattice="-3.066 -5.887 1.163 6.104 -1.020 -3.006 2.197 3.036 8.607" Properties=species:S:1:pos:R:3 pbc="T T T"
Br 4.990 -0.595 6.166
Br 2.804 -0.339 1.884
Br 0.244 -3.275 0.597
Br 5.025 -0.766 -1.578
Br 0.920 0.039 5.804
Br 2.430 -3.531 4.880
Br 4.314 -3.910 0.960
Br 0.209 -3.104 8.341
Li 2.862 -2.046 -0.019
Li 2.372 -1.824 6.783
Sc -1.754 -4.476 2.002
Sc 6.988 0.606 4.762
```

Summary:
E_form (uncorrected)   -1.614 eV/atom
Distance to the lowest polymorph of the same formula   0.029 eV/atom
Spin magnetization   0.00 μB per formula unit

=====

VASP calculation (PBE) on a relaxed Ti2Co2B crystal.

```
10
Lattice="5.355 0.000 0.000 0.000 5.355 0.000 0.000 0.000 4.130" Properties=species:S:1:pos:R:3 pbc="T T T"
B 0.000 0.000 0.000
B 2.677 2.677 0.000
Co 1.866 4.543 0.000
Co 4.543 3.489 0.000
Co 3.489 0.812 0.000
Co 0.812 1.866 0.000
Ti 3.630 4.402 2.065
Ti 4.402 1.725 2.065
Ti 0.953 3.630 2.065
Ti 1.725 0.953 2.065
```

Summary:
Spin magnetization   0.00 μB per formula unit
Formation energy   -266 meV per atom

=====

VASP calculation (PBE) on a relaxed PrEuThMg crystal.

```
4
Lattice="5.702 0.000 0.000 2.851 4.938 0.000 2.851 1.646 4.655" Properties=species:S:1:pos:R:3 pbc="T T T"
Eu 5.702 3.292 2.328
Pr 0.000 0.000 0.000
Mg 2.851 1.646 1.164
Th 8.553 4.938 3.492
```

Summary:
Spin magnetization   8.11 μB per formula unit
Formation energy   215 meV per atom